Below is crystalline Mg2TlW at its relaxed geometry, with properties calculated at the PBEsol level.

Unit cell a=4.050 b=4.050 c=9.259 alpha=90.00 beta=90.00 gamma=90.00
Fractional coordinates of all 8 atoms:
Mg1 0.000 0.500 0.250
Mg2 0.000 0.500 0.750
Mg3 0.500 0.000 0.250
Mg4 0.500 0.000 0.750
Tl1 0.000 0.000 0.000
Tl2 0.500 0.500 0.500
W1 0.000 0.000 0.500
W2 0.500 0.500 0.000

Summary:
energy of formation: 0.61 eV/atom
E_tot: -0.1603 Ha/atom

Below is crystalline Mg2TlW at its relaxed geometry, with properties calculated at the PBEsol level.

Unit cell a=3.864 b=4.334 c=9.416 alpha=90.00 beta=90.00 gamma=90.00
Fractional coordinates of all 8 atoms:
Mg1 0.000 0.000 0.223
Mg2 0.000 0.000 0.777
Mg3 0.500 0.500 0.223
Mg4 0.500 0.500 0.777
Tl1 0.000 0.500 0.500
Tl2 0.500 0.000 0.500
W1 0.000 0.500 0.000
W2 0.500 0.000 0.000

Summary:
energy of formation: 0.35 eV/atom
E_tot: -0.1697 Ha/atom

Below is crystalline Mg2TlW at its relaxed geometry, with properties calculated at the PBEsol level.

Unit cell a=3.043 b=3.043 c=29.473 alpha=90.00 beta=90.00 gamma=120.00
Fractional coordinates of all 12 atoms:
Mg1 0.000 0.000 0.000
Mg2 0.000 0.000 0.246
Mg3 0.333 0.667 0.667
Mg4 0.333 0.667 0.912
Mg5 0.667 0.333 0.333
Mg6 0.667 0.333 0.579
Tl1 0.000 0.000 0.493
Tl2 0.333 0.667 0.159
Tl3 0.667 0.333 0.826
W1 0.000 0.000 0.744
W2 0.333 0.667 0.411
W3 0.667 0.333 0.077

Summary:
energy of formation: 0.49 eV/atom
E_tot: -0.1647 Ha/atom

Below is crystalline MgTl2W at its relaxed geometry, with properties calculated at the PBEsol level.

Unit cell a=3.150 b=3.150 c=28.272 alpha=90.00 beta=90.00 gamma=120.00
Fractional coordinates of all 12 atoms:
Mg1 0.000 0.000 0.000
Mg2 0.333 0.667 0.667
Mg3 0.667 0.333 0.333
Tl1 0.000 0.000 0.248
Tl2 0.000 0.000 0.752
Tl3 0.333 0.667 0.418
Tl4 0.333 0.667 0.915
Tl5 0.667 0.333 0.085
Tl6 0.667 0.333 0.582
W1 0.000 0.000 0.500
W2 0.333 0.667 0.167
W3 0.667 0.333 0.833

Summary:
energy of formation: 0.57 eV/atom
E_tot: -0.1699 Ha/atom

Below is crystalline Mg2TlW at its relaxed geometry, with properties calculated at the PBEsol level.

Unit cell a=3.039 b=3.039 c=29.455 alpha=90.00 beta=90.00 gamma=120.00
Fractional coordinates of all 12 atoms:
Mg1 0.000 0.000 0.244
Mg2 0.000 0.000 0.756
Mg3 0.333 0.667 0.422
Mg4 0.333 0.667 0.911
Mg5 0.667 0.333 0.089
Mg6 0.667 0.333 0.578
Tl1 0.000 0.000 0.000
Tl2 0.333 0.667 0.667
Tl3 0.667 0.333 0.333
W1 0.000 0.000 0.500
W2 0.333 0.667 0.167
W3 0.667 0.333 0.833

Summary:
energy of formation: 0.42 eV/atom
E_tot: -0.1670 Ha/atom

Below is crystalline Mg2TlW at its relaxed geometry, with properties calculated at the PBEsol level.

Unit cell a=4.033 b=4.033 c=9.090 alpha=90.00 beta=90.00 gamma=90.00
Fractional coordinates of all 8 atoms:
Mg1 0.000 0.000 0.000
Mg2 0.000 0.500 0.250
Mg3 0.500 0.000 0.750
Mg4 0.500 0.500 0.500
Tl1 0.000 0.000 0.500
Tl2 0.500 0.500 0.000
W1 0.000 0.500 0.750
W2 0.500 0.000 0.250

Summary:
energy of formation: 0.58 eV/atom
E_tot: -0.1614 Ha/atom